This record from the Alexandria database describes CoNi4Pd3 after structural relaxation. The functional is PBE.

As for the total energy: -5.68 eV/atom. Its formation energy is 0.046 eV/atom.

Geometry as extended XYZ:
```
8
Lattice="-2.281 2.505 1.608 -1.913 -2.786 1.626 6.513 0.465 4.140" Properties=species:S:1:pos:R:3 pbc="T T T"
Ni 3.354 0.247 4.372
Ni 1.257 0.107 5.989
Ni 1.061 0.077 1.385
Ni -1.036 -0.063 3.001
Co -1.140 1.253 0.804
Pd 1.243 -1.231 3.680
Pd 1.076 1.415 3.693
Pd -0.957 -1.393 0.813
```



This record from the Alexandria database describes Tl2CrCl after structural relaxation. The functional is PBE.

The uncorrected formation energy is 195 meV/atom. The calculation puts the offset from the most stable computed form at 275 meV/atom. As for the total energy: -3.86 eV/atom.

Geometry as extended XYZ:
```
4
Lattice="-5.616 -1.854 -0.786 -1.223 -5.321 2.407 2.559 5.029 1.939" Properties=species:S:1:pos:R:3 pbc="T T T"
Tl -3.420 -3.587 0.811
Tl 0.000 0.000 0.000
Cr -3.238 -0.206 0.982
Cl -1.042 -1.940 2.578
```



This record from the Alexandria database describes ScSb2ICl after structural relaxation. The functional is PBE.

The uncorrected formation energy is -83 meV/atom. The calculation puts the offset from the most stable computed form at 0 meV/atom. As for the total energy: -3.68 eV/atom.

Geometry as extended XYZ:
```
5
Lattice="5.558 0.000 0.000 0.000 5.558 0.000 0.000 0.000 5.514" Properties=species:S:1:pos:R:3 pbc="T T T"
Sc 0.000 0.000 0.000
I 0.000 0.000 2.757
Sb 2.779 0.000 0.000
Sb 0.000 2.779 0.000
Cl 2.779 2.779 2.757
```



This record from the Alexandria database describes DyTmMo2N6 after structural relaxation. The functional is PBE.

The uncorrected formation energy is -908 meV/atom. As for the total energy: -8.98 eV/atom.

Geometry as extended XYZ:
```
20
Lattice="6.286 0.085 0.089 2.111 7.058 0.434 2.111 0.172 7.069" Properties=species:S:1:pos:R:3 pbc="T T T"
N 3.289 4.531 4.987
N 5.718 0.996 4.528
N 6.432 4.859 4.757
N 4.075 2.457 2.835
N 4.789 6.319 3.064
N 4.724 1.755 7.195
N 5.783 5.561 0.397
N 2.640 0.148 5.527
N 7.867 7.168 2.064
N 7.218 2.785 2.604
N 2.575 4.445 1.119
N 7.932 2.870 6.472
Mo 5.722 1.547 2.833
Mo 2.580 2.731 1.606
Mo 4.785 5.769 4.759
Mo 7.928 4.584 5.985
Dy 6.825 0.854 6.540
Dy 3.682 6.461 1.051
Tm 6.825 5.147 2.404
Tm 3.682 2.169 5.188
```



This record from the Alexandria database describes MgB2N after structural relaxation. The functional is PBE.

The uncorrected formation energy is 2180 meV/atom. The calculation puts the offset from the most stable computed form at 1584 meV/atom. As for the total energy: -3.64 eV/atom.

Geometry as extended XYZ:
```
4
Lattice="-3.411 1.551 1.013 -2.449 1.259 -2.736 -3.294 -1.933 -0.695" Properties=species:S:1:pos:R:3 pbc="T T T"
B -2.288 0.219 -0.604
B -6.865 0.658 -1.813
Mg -4.577 0.439 -1.209
N 0.000 0.000 0.000
```



This record from the Alexandria database describes Ca2Nd6Ho3 after structural relaxation. The functional is PBE.

As for the total energy: -4.18 eV/atom. Its formation energy is 0.028 eV/atom.

Geometry as extended XYZ:
```
11
Lattice="-3.258 0.100 1.653 -1.371 -3.027 1.522 13.246 6.741 29.736" Properties=species:S:1:pos:R:3 pbc="T T T"
Nd 5.207 2.546 14.148
Nd 10.413 5.091 28.292
Nd -1.796 -1.279 4.619
Nd -0.767 -0.913 10.663
Nd 9.384 4.726 22.248
Nd 3.410 1.267 18.763
Ca 6.397 2.996 20.506
Ca 2.220 0.817 12.405
Ho 0.000 0.000 0.000
Ho 1.051 0.378 6.088
Ho 7.566 3.435 26.823
```



This record from the Alexandria database describes MnZn2Co after structural relaxation. The functional is PBE.

The calculation puts the offset from the most stable computed form at 691 meV/atom. As for the total energy: -4.06 eV/atom. Its formation energy is 0.648 eV/atom.

Geometry as extended XYZ:
```
8
Lattice="-5.997 -0.261 -2.798 0.787 -6.486 -1.082 -3.608 -3.861 0.255" Properties=species:S:1:pos:R:3 pbc="T T T"
Co 0.000 0.000 0.000
Co -6.105 -3.748 -2.242
Zn -7.260 -8.845 -3.211
Zn -4.594 -1.941 -1.840
Zn -1.118 -5.050 -0.943
Zn -4.666 -5.381 -1.256
Mn -2.713 -6.861 -1.383
Mn -2.605 -3.374 -1.940
```



This record from the Alexandria database describes CaGeSe3 after structural relaxation. The functional is PBE.

The uncorrected formation energy is -508 meV/atom. The calculation puts the offset from the most stable computed form at 324 meV/atom. As for the total energy: -3.92 eV/atom.

Geometry as extended XYZ:
```
5
Lattice="5.051 0.000 0.000 0.000 5.051 0.000 0.000 0.000 5.051" Properties=species:S:1:pos:R:3 pbc="T T T"
Se 0.000 0.000 2.526
Se 0.000 2.526 0.000
Se 2.526 0.000 0.000
Ge 0.000 0.000 0.000
Ca 2.526 2.526 2.526
```



This record from the Alexandria database describes Tc2RhSe after structural relaxation. The functional is PBE.

The uncorrected formation energy is 207 meV/atom. As for the total energy: -7.68 eV/atom.

Geometry as extended XYZ:
```
4
Lattice="-1.061 -1.197 -2.429 3.479 -0.959 -1.048 -0.547 -4.871 2.639" Properties=species:S:1:pos:R:3 pbc="T T T"
Rh -0.271 -2.410 1.306
Se 0.794 -4.771 0.263
Tc 1.084 -2.188 -1.137
Tc -0.010 -0.093 0.050
```



- Which of these has the highest total energy?
  MgB2N